The following is a PBE calculation of an optimized crystal structure of MnCrCo4, from Alexandria.

Cell lengths 5.5721, 5.5721, 4.3117 Å; angles 121.03, 75.02, 143.25 degrees
Site moments in Bohr magnetons follow the coordinates.
Sites, in units of the cell vectors:
Cr (0.0000, 0.5000, 0.5000)  -1.69
Co (0.6677, 0.8356, 0.5033)  0.89
Co (0.3323, 0.1644, 0.4967)  0.89
Co (0.3309, 0.6656, 0.9965)  1.06
Mn (0.0000, 0.0000, 0.0000)  1.81
Co (0.6691, 0.3344, 0.0035)  1.06

Summary:
Uncorrected energy   -7.819 eV per atom
Energy relative to the lowest polymorph listed for this composition   0 meV/atom
Crystal system   monoclinic
Formation energy   0.051 eV/atom